# 1
## LiHoTe2O8 (PBE-GGA)

Data for a relaxed structure of LiHoTe2O8.

extended XYZ file:
```
12
Lattice="-3.057 4.498 -2.835 -2.634 -5.524 -0.397 0.212 1.457 5.954" Properties=species:S:1:pos:R:3 pbc="T T T"
O -3.452 3.297 -0.901
O -1.245 1.789 0.767
O -4.394 0.466 -1.575
O -4.366 1.762 1.196
O -3.076 -0.394 3.166
O -2.322 -1.125 0.030
O -2.318 4.036 1.944
O -1.167 1.914 3.822
Li 0.000 0.000 0.000
Te -2.846 -0.513 -1.616
Te -2.845 2.721 0.752
Ho -2.634 -2.290 1.970
```

E_form (uncorrected), eV/atom: -1.525
E_tot, eV/atom: -5.895
Space-group type: I-4m2
D(E_F), states/eV per cell: 0.000
Size of the total moment, μB per atom: 0.000



# 2
## Cs2VSnI6 (PBE-GGA)

Data for a relaxed structure of Cs2VSnI6.

extended XYZ file:
```
10
Lattice="8.514 0.000 0.000 0.000 8.514 0.000 4.257 4.257 6.020" Properties=species:S:1:pos:R:3 pbc="T T T"
I 8.514 8.514 3.152
I 2.229 2.229 0.000
I 6.285 2.229 0.000
I 2.229 6.285 0.000
I 6.285 6.285 0.000
I 4.257 4.257 2.868
Sn 0.000 0.000 0.000
V 4.257 4.257 0.000
Cs 8.514 4.257 3.010
Cs 4.257 8.514 3.010
```

E_form (uncorrected), eV/atom: -0.869
E_tot, eV/atom: -3.282
Space-group type: Fm-3m
D(E_F), states/eV per cell: 0.000
Size of the total moment, μB per atom: 0.300



# 3
## Zr2MnAs (PBE-GGA)

Data for a relaxed structure of Zr2MnAs.

extended XYZ file:
```
8
Lattice="-2.951 6.194 -2.757 -4.715 -4.036 -4.019 -5.753 1.140 -1.196" Properties=species:S:1:pos:R:3 pbc="T T T"
Zr -7.162 1.688 -3.415
Zr -4.737 -1.500 -3.139
Zr -11.051 2.719 -6.850
Zr -3.889 3.688 -2.541
As -6.268 4.206 -3.671
As 0.000 0.000 0.000
Mn -3.833 1.079 -3.388
Mn -7.151 -0.908 -4.302
```

E_tot, eV/atom: -7.776
Space-group type: I-42d
D(E_F), states/eV per cell: 9.387
Size of the total moment, μB per atom: 0.768
DFT formation energy, eV per atom: -0.047



# 4
## BeCr2Ag (PBE-GGA)

Data for a relaxed structure of BeCr2Ag.

extended XYZ file:
```
8
Lattice="3.356 0.000 0.000 0.000 3.356 0.000 1.678 1.678 9.330" Properties=species:S:1:pos:R:3 pbc="T T T"
Be 1.678 1.678 0.000
Be 1.678 3.356 4.665
Cr 2.365 2.517 2.332
Cr 2.517 4.043 6.997
Cr 4.195 2.669 6.997
Cr 0.991 0.839 2.332
Ag 0.000 0.000 0.000
Ag 3.356 1.678 4.665
```

E_tot, eV/atom: -5.704
Space-group type: I-42d
D(E_F), states/eV per cell: 5.632
Size of the total moment, μB per atom: 0.000
DFT formation energy, eV per atom: 0.752